1.
# Tl4TeS2, optimized geometry, DFT PBE
# Uncorrected formation energy: -0.26 eV/atom
# Magnetization: 0.00 μB/atom
data_Tl4TeS2
_chemical_formula_sum 'Tl16 Te4 S8'
_space_group_name_H-M_alt 'C m c m'
_space_group_IT_number 63
_space_group_name_Hall '-C 2c 2'
_cell_length_a 4.548
_cell_length_b 14.856
_cell_length_c 13.445
_cell_angle_alpha 90.00
_cell_angle_beta 90.00
_cell_angle_gamma 90.00
loop_
_atom_site_label
_atom_site_type_symbol
_atom_site_fract_x
_atom_site_fract_y
_atom_site_fract_z
Tl1 Tl 0.000 0.000 0.000
Tl2 Tl 0.000 0.273 0.118
Tl3 Tl 0.000 0.447 0.750
Te1 Te 0.000 0.074 0.750
S1 S 0.000 0.358 0.583

=====

2.
# InSn2Pd2, optimized geometry, DFT PBE
# ΔE_f: -162 meV/atom
# Magnetization: 0.00 μB/atom
data_InSn2Pd2
_chemical_formula_sum 'In2 Sn4 Pd4'
_space_group_name_H-M_alt 'I 4/m m m'
_space_group_IT_number 139
_space_group_name_Hall '-I 4 2'
_cell_length_a 4.391
_cell_length_b 4.391
_cell_length_c 11.975
_cell_angle_alpha 90.00
_cell_angle_beta 90.00
_cell_angle_gamma 90.00
loop_
_atom_site_label
_atom_site_type_symbol
_atom_site_fract_x
_atom_site_fract_y
_atom_site_fract_z
In1 In 0.000 0.000 0.000
Sn1 Sn 0.000 0.500 0.250
Pd1 Pd 0.000 0.000 0.385

=====

3.
# TbNdHoN3, optimized geometry, DFT PBE
# Uncorrected formation energy: -1.41 eV/atom
# Magnetization: 0.00 μB/atom
data_TbNdHoN3
_chemical_formula_sum 'Tb2 Nd2 Ho2 N6'
_space_group_name_H-M_alt 'P 1 21/m 1'
_space_group_IT_number 11
_space_group_name_Hall '-P 2yb'
_cell_length_a 6.054
_cell_length_b 3.518
_cell_length_c 9.109
_cell_angle_alpha 90.00
_cell_angle_beta 101.74
_cell_angle_gamma 90.00
loop_
_atom_site_label
_atom_site_type_symbol
_atom_site_fract_x
_atom_site_fract_y
_atom_site_fract_z
Tb1 Tb 0.231 0.250 0.455
Nd1 Nd 0.345 0.750 0.802
Ho1 Ho 0.149 0.750 0.140
N1 N 0.036 0.250 0.655
N2 N 0.245 0.250 0.009
N3 N 0.459 0.750 0.331

=====

4.
# Al2MoCl, optimized geometry, DFT PBE
# Uncorrected formation energy: -0.36 eV/atom
# Magnetization: 0.00 μB/atom
# Energy relative to the lowest polymorph listed for this composition: 0.0 kJ per mole of atoms
data_Al2MoCl
_chemical_formula_sum 'Al2 Mo1 Cl1'
_space_group_name_H-M_alt 'P m m m'
_space_group_IT_number 47
_space_group_name_Hall '-P 2 2'
_cell_length_a 3.068
_cell_length_b 3.139
_cell_length_c 7.698
_cell_angle_alpha 90.00
_cell_angle_beta 90.00
_cell_angle_gamma 90.00
loop_
_atom_site_label
_atom_site_type_symbol
_atom_site_fract_x
_atom_site_fract_y
_atom_site_fract_z
Al1 Al 0.000 0.000 0.200
Mo1 Mo 0.500 0.500 0.000
Cl1 Cl 0.000 0.000 0.500